The following is a DFT calculation (PBE-GGA) of a relaxed Pm3SmY2Tm6 crystal.

Cell lengths 6.1648, 6.1648, 11.7171 Å; angles 95.02, 95.02, 119.97 degrees
Sites, in units of the cell vectors:
Pm (0.0000, 0.0000, 0.0000)
Pm (0.3331, 0.6669, 0.0000)
Pm (0.6669, 0.3331, 0.0000)
Sm (0.5000, 0.5000, 0.5000)
Y (0.1667, 0.8333, 0.5000)
Y (0.8333, 0.1667, 0.5000)
Tm (0.0841, 0.4169, 0.2511)
Tm (0.2501, 0.2501, 0.7490)
Tm (0.4169, 0.0841, 0.2511)
Tm (0.5831, 0.9159, 0.7489)
Tm (0.7499, 0.7499, 0.2510)
Tm (0.9159, 0.5831, 0.7489)

Values from the calculation:
DOS at the Fermi energy: 15.49 states/eV per cell
space group: C2/m
M_tot: 0.00 μB/f.u.
formation energy from the elements: 0.022 eV per atom
E_tot: -58.47 eV/cell
volume: 379.8 Å³ per cell
calculated density: 7.768 g/cm3

***

The following is a DFT calculation (PBE-GGA) of a relaxed Sr2Mg3F10 crystal.

Cell lengths 9.5881, 9.5881, 7.6073 Å; angles 110.01, 110.01, 35.96 degrees
Sites, in units of the cell vectors:
Sr (0.1137, 0.1137, 0.2127)
Sr (0.2179, 0.2179, 0.8240)
Sr (0.7821, 0.7821, 0.1760)
Sr (0.8863, 0.8863, 0.7873)
Mg (0.2430, 0.7570, 0.5000)
Mg (0.3215, 0.3215, 0.4779)
Mg (0.4244, 0.4244, 0.0431)
Mg (0.5756, 0.5756, 0.9569)
Mg (0.6785, 0.6785, 0.5221)
Mg (0.7570, 0.2430, 0.5000)
F (0.0000, 0.5000, 0.5000)
F (0.0094, 0.0094, 0.6859)
F (0.1057, 0.5919, 0.0264)
F (0.1228, 0.6483, 0.4605)
F (0.2578, 0.2578, 0.2104)
F (0.2703, 0.7297, 0.0000)
F (0.3517, 0.8772, 0.5395)
F (0.3659, 0.3659, 0.7566)
F (0.4081, 0.8943, 0.9736)
F (0.4802, 0.4802, 0.3174)
F (0.5000, 0.0000, 0.5000)
F (0.5198, 0.5198, 0.6826)
F (0.5919, 0.1057, 0.0264)
F (0.6341, 0.6341, 0.2434)
F (0.6483, 0.1228, 0.4605)
F (0.7297, 0.2703, 0.0000)
F (0.7422, 0.7422, 0.7896)
F (0.8772, 0.3517, 0.5395)
F (0.8943, 0.4081, 0.9736)
F (0.9906, 0.9906, 0.3141)

Values from the calculation:
formation energy (no corrections): -3657 meV per atom
DOS at the Fermi energy: 0.00 states/eV per cell
space group: C2/m
M_tot: 0.09 μB/f.u.
E_tot: -163.42 eV/cell
volume: 383.2 Å³ per cell
calculated density: 3.798 g/cm3

***

The following is a DFT calculation (PBE-GGA) of a relaxed PmY5Ho3 crystal.

Cell lengths 8.7339, 8.7339, 11.7752 Å; angles 107.24, 107.24, 45.12 degrees
Sites, in units of the cell vectors:
Pm (0.1867, 0.8133, 0.7500)
Pm (0.8133, 0.1867, 0.2500)
Y (0.0222, 0.4114, 0.7648)
Y (0.2635, 0.3696, 0.5504)
Y (0.3029, 0.6971, 0.2500)
Y (0.3696, 0.2635, 0.0504)
Y (0.4114, 0.0222, 0.2648)
Y (0.5886, 0.9778, 0.7352)
Y (0.6304, 0.7365, 0.9496)
Y (0.6971, 0.3029, 0.7500)
Y (0.7365, 0.6304, 0.4496)
Y (0.9778, 0.5886, 0.2352)
Ho (0.0546, 0.1606, 0.0112)
Ho (0.1606, 0.0546, 0.5112)
Ho (0.5000, 0.5000, 0.0000)
Ho (0.5000, 0.5000, 0.5000)
Ho (0.8394, 0.9454, 0.4888)
Ho (0.9454, 0.8394, 0.9888)

Values from the calculation:
DOS at the Fermi energy: 28.88 states/eV per cell
space group: C2/c
M_tot: 0.00 μB/f.u.
formation energy from the elements: 0.214 eV per atom
E_tot: -97.75 eV/cell
volume: 602.8 Å³ per cell
calculated density: 5.974 g/cm3